# 1
Computed, not measured: a crystal of BeAs2P relaxed with PBEsol at the meta-GGA SCAN level of DFT.

a = 3.471 Å, b = 5.255 Å, c = 6.918 Å
α = 90.00°, β = 90.00°, γ = 90.00°
Space group Immm (No. 71)
Unique sites:
Be 0.000 0.000 0.000
As 0.000 0.500 0.272
P 0.000 0.000 0.500

Summary:
**Polymorph energy (0 for the lowest one)**: 283.9 meV/atom
**D(E_F)**: 3.05 states/eV per cell
**Magnetization**: 0.0 μB per cell
**Calculated volume**: 126.18 Å³/cell
**E_form**: 611 meV/atom

# 2
Computed, not measured: a crystal of BeAs2P relaxed with PBEsol at the meta-GGA SCAN level of DFT.

a = 2.659 Å, b = 3.435 Å, c = 6.935 Å
α = 90.00°, β = 99.44°, γ = 90.00°
Space group P2/m (No. 10)
Unique sites:
Be 0.000 0.000 0.000
As 0.133 0.500 0.774
P 0.000 0.000 0.500

Summary:
**Polymorph energy (0 for the lowest one)**: 0.0 meV/atom
**D(E_F)**: 1.28 states/eV per cell
**Magnetization**: 0.0 μB per cell
**Calculated volume**: 62.49 Å³/cell
**E_form**: 327 meV/atom

Q: magnetization of number 1 (BeAs2P)?
A: 0.0 μB per cell

Q: Among the records above, which one has the highest E_form?
A: number 1